# 1
This record from Alexandria describes a relaxed KNpSb2 crystal. The functional is PBE.

Summary:
space-group type: No. 166
energy above the most stable polymorph in this dataset: 2.13 kcal/mol of atoms

Cell: 4.602 4.602 8.444 Å, 74.19 74.19 60.00°
Each line ends with the local moment (μB).
Fractional coordinates of all 4 atoms:
Sb 0.270 0.270 0.190  -0.11
Sb 0.730 0.730 0.810  -0.11
K 0.500 0.500 0.500  -0.01
Np 0.000 0.000 0.000  3.41

---

# 2
This record from Alexandria describes a relaxed Na2TmRe3O12 crystal. The functional is PBE.

Summary:
space-group type: No. 166

Cell: 7.592 7.592 7.592 Å, 58.30 58.30 58.30°
Each line ends with the local moment (μB).
Fractional coordinates of all 18 atoms:
O 0.351 0.929 0.929  -0.01
O 0.064 0.697 0.697  0.03
Re 0.000 0.000 0.500  0.15
Re 0.500 0.000 0.000  0.15
O 0.649 0.071 0.071  -0.01
O 0.929 0.929 0.351  -0.01
O 0.936 0.303 0.303  0.03
O 0.929 0.351 0.929  -0.01
O 0.697 0.697 0.064  0.03
Re 0.000 0.500 0.000  0.15
O 0.697 0.064 0.697  0.03
O 0.303 0.303 0.936  0.03
O 0.071 0.649 0.071  -0.01
Tm 0.000 0.000 0.000  0.00
Na 0.704 0.704 0.704  0.00
Na 0.296 0.296 0.296  0.00
O 0.071 0.071 0.649  -0.01
O 0.303 0.936 0.303  0.03

---

So what do the calculations give for total magnetization? Going down the list: 2.89, 0.67 μB/f.u..
So what do the calculations give for formation energy from raw total energies? Going down the list: -0.139, -1.856 eV/atom.